Compound: TlTePbSe
Source: Alexandria
Functional: PBE
Structure: relaxed

Properties
As for the uncorrected formation energy: -0.145 eV/atom. The calculation puts the total DFT energy (no corrections) at -3.32 eV per atom.

Lattice parameters (Å, degrees): 5.5010 5.5010 5.5010 60.00 60.00 60.00
Closest atoms and distances in Å follow each position.
Element x y z (fractional)
Tl 0.0000 0.0000 0.0000  4 Se 3.37, 4 Te 3.37
Te 0.2500 0.2500 0.2500  4 Tl 3.37, 4 Pb 3.37
Pb 0.5000 0.5000 0.5000  4 Se 3.37, 4 Te 3.37
Se 0.7500 0.7500 0.7500  4 Tl 3.37, 4 Pb 3.37